CaNiI2O8 | PBE with a Hubbard U | relaxed

```
CaNiI2O8
1.0
-3.618 3.618 3.392
3.618 -3.618 3.392
3.618 3.618 -3.392
Ca Ni I O
1 1 2 8
direct
0.000 0.000 0.000
0.750 0.250 0.500
0.250 0.750 0.500
0.500 0.500 0.000
0.063 0.378 0.316
0.063 0.747 0.684
0.111 0.309 0.801
0.253 0.937 0.316
0.508 0.309 0.199
0.622 0.937 0.684
0.691 0.492 0.801
0.691 0.889 0.199
```

Computed properties:
Its density of states at the Fermi level is 0.123 states/eV per atom. The calculation puts the total energy at -54.84 eV for the cell shown.